Version 1
This record from Alexandria via LeMat-Bulk describes PrSc2Ir after structural relaxation. The functional is GGA-PBE.

Computed properties:
**Space group**: R-3m (166)
**Total magnetization**: 0.000 μB per cell

abc: 6.5710 6.5710 6.5710
angles: 39.04 39.04 39.04
Positions (direct):
Pr  0.0000  0.0000  0.0000
Sc  0.2129  0.2129  0.2129
Sc  0.7871  0.7871  0.7871
Ir  0.5000  0.5000  0.5000

---

Version 2
This record from Alexandria via LeMat-Bulk describes PrSc2Ir after structural relaxation. The functional is GGA-PBE.

Computed properties:
**Space group**: R3m (160)
**Total magnetization**: 0.000 μB per cell

abc: 6.5711 6.5711 6.5711
angles: 39.58 39.58 39.58
Positions (direct):
Pr  0.0000  0.0000  0.0000
Sc  0.2104  0.2104  0.2104
Sc  0.4505  0.4505  0.4505
Ir  0.8263  0.8263  0.8263

---

Version 3
This record from Alexandria via LeMat-Bulk describes PrSc2Ir after structural relaxation. The functional is GGA-PBE.

Computed properties:
**Space group**: P4/mmm (123)
**Total magnetization**: 0.000 μB per cell

abc: 3.2975 3.2975 8.5015
angles: 90.00 90.00 90.00
Positions (direct):
Pr  0.0000  0.0000  0.0000
Sc  0.5000  0.5000  0.3168
Sc  0.5000  0.5000  0.6832
Ir  0.0000  0.0000  0.5000

---

Which is the most stable structure? version 3 is the most stable.